Entry from the Alexandria database: a relaxed Cs3YU3Se8 crystal (PBE-GGA).

Output
Electronic total energy   -91.26 eV for the cell shown

Cell: 8.4385 8.4380 9.8443 Å, 115.39 90.00 120.00°
Closest atoms and distances in Å follow each position.
Atoms (fractional coordinates):
Cs1 0.0000 0.0000 0.0000  6 Se 3.62-3.64
Cs2 0.0000 0.5000 0.0000  6 Se 3.62-3.64
Cs3 0.5000 0.5000 0.0000  6 Se 3.62-3.64
Y1 0.0000 0.0000 0.5000  6 Se 2.90-2.91
U1 0.5000 0.0000 0.5000  6 Se 2.90-2.91
U2 0.5000 0.5000 0.5000  6 Se 2.90-2.91
U3 0.0000 0.5000 0.5000  6 Se 2.90-2.91
Se1 0.2712 0.5423 0.3135  3 U 2.91
Se2 0.7288 0.4577 0.6865  3 U 2.91
Se3 0.7715 0.5431 0.3162  2 U 2.90, 1 Y 2.91
Se4 0.2285 0.4569 0.6838  2 U 2.90, 1 Y 2.91
Se5 0.7716 0.0445 0.3162  2 U 2.90, 1 Y 2.90
Se6 0.2284 0.9555 0.6838  2 U 2.90, 1 Y 2.90
Se7 0.2729 0.0445 0.3162  2 U 2.90, 1 Y 2.90
Se8 0.7271 0.9555 0.6838  2 U 2.90, 1 Y 2.90

Entry from the Alexandria database: a relaxed Er4CuAu crystal (PBE-GGA).

Output
Electronic total energy   -53.81 eV for the cell shown

Cell: 6.8552 7.0144 6.8844 Å, 90.00 93.09 90.00°
Closest atoms and distances in Å follow each position.
Atoms (fractional coordinates):
Er1 0.8657 0.6546 0.1619  1 Cu 2.69, 2 Au 2.84-2.90
Er2 0.6343 0.1546 0.8381  1 Cu 2.69, 2 Au 2.84-2.90
Er3 0.3303 0.3408 0.3464  2 Cu 2.78-2.84, 1 Au 2.93
Er4 0.1697 0.8408 0.6536  2 Cu 2.78-2.84, 1 Au 2.93
Er5 0.1343 0.3454 0.8381  1 Cu 2.69, 2 Au 2.84-2.90
Er6 0.3657 0.8454 0.1619  1 Cu 2.69, 2 Au 2.84-2.90
Er7 0.6697 0.6592 0.6536  2 Cu 2.78-2.84, 1 Au 2.93
Er8 0.8303 0.1592 0.3464  2 Cu 2.78-2.84, 1 Au 2.93
Cu1 0.5000 0.0000 0.5000  6 Er 2.69-2.84
Cu2 0.0000 0.5000 0.5000  6 Er 2.69-2.84
Au1 0.0000 0.0000 0.0000  6 Er 2.84-2.93
Au2 0.5000 0.5000 0.0000  6 Er 2.84-2.93

Entry from the Alexandria database: a relaxed ZrBiI2O crystal (PBE-GGA).

Output
Electronic total energy   -24.69 eV for the cell shown
E above lowest polymorph   0.000 eV/atom

Cell: 5.9988 5.9988 4.0027 Å, 90.00 90.00 90.00°
Closest atoms and distances in Å follow each position.
Atoms (fractional coordinates):
I1 0.0000 0.5000 0.0000  2 Zr 3.00
I2 0.5000 0.0000 0.0000  2 Zr 3.00
O1 0.0000 0.0000 0.5000  2 Zr 2.00
Bi1 0.5000 0.5000 0.5000  8 I 3.61, 2 Bi 4.00
Zr1 0.0000 0.0000 0.0000  2 O 2.00

Entry from the Alexandria database: a relaxed NaDyInHg crystal (PBE-GGA).

Output
Electronic total energy   -10.14 eV for the cell shown
E above lowest polymorph   0.008 eV/atom

Cell: 3.6890 3.6890 7.6601 Å, 90.00 90.00 90.00°
Closest atoms and distances in Å follow each position.
Atoms (fractional coordinates):
Na1 0.0000 0.0000 0.8498  4 Hg 3.22, 4 In 3.28
Dy1 0.0000 0.0000 0.3647  4 Hg 3.19, 4 In 3.26
In1 0.5000 0.5000 0.1100  4 Dy 3.26, 4 Na 3.28
Hg1 0.5000 0.5000 0.6035  4 Dy 3.19, 4 Na 3.22

Entry from the Alexandria database: a relaxed Li2AgPb crystal (PBE-GGA).

Output
Electronic total energy   -11.30 eV for the cell shown

Cell: 3.3813 3.3824 6.6612 Å, 90.00 90.00 90.00°
Closest atoms and distances in Å follow each position.
Atoms (fractional coordinates):
Pb1 0.5000 0.5000 0.2500  8 Li 3.02, 2 Ag 3.33, 4 Pb 3.38
Ag1 0.5000 0.5000 0.7500  8 Li 2.81
Li1 0.0000 0.0000 0.9722  4 Ag 2.81, 1 Li 2.96, 4 Pb 3.02
Li2 0.0000 0.0000 0.5278  4 Ag 2.81, 1 Li 2.96, 4 Pb 3.02

Entry from the Alexandria database: a relaxed NdAlZnHg crystal (PBE-GGA).

Output
Electronic total energy   -11.15 eV for the cell shown

Cell: 5.0045 5.0045 5.0045 Å, 60.00 60.00 60.00°
Closest atoms and distances in Å follow each position.
Atoms (fractional coordinates):
Zn1 0.0000 0.0000 0.0000  4 Nd 3.06, 4 Al 3.06
Nd1 0.2500 0.2500 0.2500  4 Hg 3.06, 4 Zn 3.06
Hg1 0.5000 0.5000 0.5000  4 Al 3.06, 4 Nd 3.06
Al1 0.7500 0.7500 0.7500  4 Zn 3.06, 4 Hg 3.06

Entry from the Alexandria database: a relaxed ScS3N crystal (PBE-GGA).

Output
Electronic total energy   -23.03 eV for the cell shown
E above lowest polymorph   0.637 eV/atom

Cell: 4.9961 4.9961 4.9961 Å, 90.00 90.00 90.00°
Closest atoms and distances in Å follow each position.
Atoms (fractional coordinates):
Sc1 0.0000 0.0000 0.0000  6 S 2.50
S1 0.0000 0.5000 0.0000  2 Sc 2.50
S2 0.0000 0.0000 0.5000  2 Sc 2.50
S3 0.5000 0.0000 0.0000  2 Sc 2.50
N1 0.5000 0.5000 0.5000  12 S 3.53

Entry from the Alexandria database: a relaxed AgAsSN2 crystal (PBE-GGA).

Output
Electronic total energy   -22.15 eV for the cell shown
E above lowest polymorph   0.000 eV/atom

Cell: 3.6446 3.6446 5.8469 Å, 90.00 90.00 90.00°
Closest atoms and distances in Å follow each position.
Atoms (fractional coordinates):
As1 0.0000 0.0000 0.0000  4 N 1.82
S1 0.0000 0.0000 0.5000  4 Ag 2.58
Ag1 0.5000 0.5000 0.5000  4 S 2.58
N1 0.0000 0.5000 0.0000  2 As 1.82
N2 0.5000 0.0000 0.0000  2 As 1.82

Entry from the Alexandria database: a relaxed Th2AlZn crystal (PBE-GGA).

Output
Electronic total energy   -41.50 eV for the cell shown

Cell: 4.1432 6.0740 8.8197 Å, 111.22 90.00 90.00°
Closest atoms and distances in Å follow each position.
Atoms (fractional coordinates):
Th1 0.7500 0.2082 0.4210  3 Zn 3.13-3.30, 4 Al 3.18-3.28
Th2 0.2500 0.7918 0.5790  3 Zn 3.13-3.30, 4 Al 3.18-3.28
Th3 0.2500 0.7951 0.0676  4 Zn 3.12-3.29, 3 Al 3.18-3.28
Th4 0.7500 0.2049 0.9324  4 Zn 3.12-3.29, 3 Al 3.18-3.28
Al1 0.7500 0.6442 0.2851  2 Zn 2.59
Al2 0.2500 0.3558 0.7149  2 Zn 2.59
Zn1 0.2500 0.3697 0.2162  2 Al 2.59
Zn2 0.7500 0.6303 0.7838  2 Al 2.59

Entry from the Alexandria database: a relaxed Ac6Sb5Br crystal (PBE-GGA).

Output
Electronic total energy   -59.66 eV for the cell shown

Cell: 9.9852 5.7512 9.1773 Å, 71.74 79.56 54.66°
Closest atoms and distances in Å follow each position.
Atoms (fractional coordinates):
Sb1 0.5000 0.1672 0.6656  8 Ac 3.44-3.51
Sb2 0.0000 0.3408 0.3184  8 Ac 3.49-3.61
Sb3 0.5000 0.5000 0.0000  8 Ac 3.47-3.60
Sb4 0.0000 0.6592 0.6816  8 Ac 3.49-3.61
Sb5 0.5000 0.8328 0.3344  8 Ac 3.44-3.51
Ac1 0.7448 0.0848 0.3436  7 Sb 3.44-3.61, 1 Br 3.64
Ac2 0.2552 0.5716 0.3436  7 Sb 3.44-3.61, 1 Br 3.64
Ac3 0.2605 0.2385 0.0000  6 Sb 3.47-3.51, 2 Br 3.57
Ac4 0.7395 0.7615 0.0000  6 Sb 3.47-3.51, 2 Br 3.57
Ac5 0.7448 0.4284 0.6564  7 Sb 3.44-3.61, 1 Br 3.64
Ac6 0.2552 0.9152 0.6564  7 Sb 3.44-3.61, 1 Br 3.64
Br1 0.0000 0.0000 0.0000  8 Ac 3.57-3.64, 4 Sb 4.00

Entry from the Alexandria database: a relaxed PmSm3Co crystal (PBE-GGA).

Output
Electronic total energy   -52.71 eV for the cell shown
E above lowest polymorph   0.000 eV/atom

Cell: 7.3032 7.3032 7.2941 Å, 109.02 110.08 109.37°
Closest atoms and distances in Å follow each position.
Atoms (fractional coordinates):
Pm1 0.7080 0.0462 0.7541  1 Co 2.60
Pm2 0.2920 0.9538 0.2459  1 Co 2.60
Sm1 0.8391 0.0461 0.2935  1 Co 2.59
Sm2 0.2474 0.4544 0.2935  1 Co 2.59
Sm3 0.7526 0.5456 0.7065  1 Co 2.59
Sm4 0.7068 0.4540 0.1609  1 Co 2.59
Sm5 0.1609 0.9539 0.7065  1 Co 2.59
Sm6 0.2932 0.5460 0.8391  1 Co 2.59
Co1 0.6268 0.7495 0.3763  3 Sm 2.59, 1 Pm 2.60
Co2 0.3732 0.2505 0.6237  3 Sm 2.59, 1 Pm 2.60

Entry from the Alexandria database: a relaxed LiNiHg2 crystal (PBE-GGA).

Output
Electronic total energy   -8.10 eV for the cell shown

Cell: 8.6180 8.6180 8.6180 Å, 21.19 21.19 21.19°
Closest atoms and distances in Å follow each position.
Atoms (fractional coordinates):
Hg1 0.9958 0.9958 0.9958  3 Ni 2.71, 3 Li 2.87
Hg2 0.5042 0.5042 0.5042  3 Ni 2.71, 3 Li 2.87
Li1 0.7500 0.7500 0.7500  6 Hg 2.87, 6 Li 3.17
Ni1 0.2500 0.2500 0.2500  6 Hg 2.71

| no. | volume (Å³/f.u.) |
| --- | --- |
| 1 | 527 |
| 2 | 165 |
| 3 | 144 |
| 4 | 104 |
| 5 | 76 |
| 6 | 89 |
| 7 | 125 |
| 8 | 78 |
| 9 | 103 |
| 10 | 408 |
| 11 | 150 |
| 12 | 73 |